[1]
Ti4ZnPt5 PBE relaxed; spin magnetization = 1.72 μB/f.u.; ΔE_f = -0.87 eV per atom; Fermi-level density of states = 0.83 states/eV/atom; mass density = 13.31 Mg/m³
1.0
2.843 0.000 0.000
0.000 2.843 0.000
0.000 0.000 19.017
Ti Zn Pt
4 1 5
Direct
0.000 0.000 0.102
0.000 0.000 0.305
0.000 0.000 0.695
0.000 0.000 0.898
0.000 0.000 0.500
0.500 0.500 0.000
0.500 0.500 0.203
0.500 0.500 0.403
0.500 0.500 0.597
0.500 0.500 0.797

[2]
Ti2ZnPt PBE relaxed; spin magnetization = 1.08 μB/f.u.; ΔE_f = -0.54 eV per atom; Fermi-level density of states = 0.97 states/eV/atom; mass density = 9.51 Mg/m³
1.0
5.654 0.000 0.000
0.000 7.867 0.000
0.000 0.000 2.796
Ti Zn Pt
4 2 2
Direct
0.250 0.250 0.000
0.250 0.750 0.000
0.750 0.250 0.000
0.750 0.750 0.000
0.000 0.000 0.500
0.500 0.500 0.500
0.000 0.500 0.500
0.500 0.000 0.500

[3]
Ti2ZnPt PBE relaxed; spin magnetization = 0.00 μB/f.u.; ΔE_f = -0.52 eV per atom; Fermi-level density of states = 1.11 states/eV/atom; mass density = 9.39 Mg/m³
1.0
3.271 0.000 0.000
0.000 3.271 0.000
0.000 0.000 5.889
Ti Zn Pt
2 1 1
Direct
0.000 0.000 0.250
0.000 0.000 0.750
0.500 0.500 0.000
0.500 0.500 0.500

[4]
Ti6ZnPt PBE relaxed; spin magnetization = 0.00 μB/f.u.; ΔE_f = -0.30 eV per atom; Fermi-level density of states = 1.13 states/eV/atom; mass density = 6.93 Mg/m³; ΔE to the lowest computed polymorph = 0.0 meV per atom
1.0
4.555 0.000 0.000
0.000 6.214 0.000
0.000 0.000 9.267
Ti Zn Pt
12 2 2
Direct
0.000 0.000 0.000
0.000 0.225 0.285
0.000 0.275 0.785
0.000 0.500 0.500
0.000 0.725 0.785
0.000 0.775 0.285
0.500 0.000 0.786
0.500 0.236 0.511
0.500 0.264 0.011
0.500 0.500 0.286
0.500 0.736 0.011
0.500 0.764 0.511
0.000 0.000 0.559
0.000 0.500 0.059
0.500 0.000 0.241
0.500 0.500 0.741

[5]
Ti5ZnPt8 PBE relaxed; spin magnetization = 0.00 μB/f.u.; ΔE_f = -0.67 eV per atom; Fermi-level density of states = 0.78 states/eV/atom; mass density = 13.36 Mg/m³
1.0
-3.925 3.925 3.762
3.925 -3.925 3.762
3.925 3.925 -3.762
Ti Zn Pt
5 1 8
Direct
0.000 0.000 0.000
0.190 0.269 0.675
0.485 0.810 0.079
0.594 0.515 0.325
0.731 0.406 0.921
0.250 0.750 0.500
0.155 0.441 0.068
0.373 0.087 0.932
0.415 0.144 0.404
0.559 0.627 0.715
0.740 0.011 0.596
0.856 0.260 0.271
0.913 0.845 0.285
0.989 0.585 0.729

[6]
TiZn4Pt5 PBE relaxed; spin magnetization = 0.57 μB/f.u.; ΔE_f = -0.65 eV per atom; Fermi-level density of states = 0.31 states/eV/atom; mass density = 14.40 Mg/m³
1.0
2.889 0.000 0.000
0.000 2.889 0.000
0.000 0.000 17.758
Ti Zn Pt
1 4 5
Direct
0.000 0.000 0.000
0.000 0.000 0.206
0.000 0.000 0.401
0.000 0.000 0.599
0.000 0.000 0.794
0.500 0.500 0.104
0.500 0.500 0.303
0.500 0.500 0.500
0.500 0.500 0.697
0.500 0.500 0.896

[7]
ZrTiZnPt PBE relaxed; spin magnetization = 0.69 μB/f.u.; ΔE_f = -0.50 eV per atom; Fermi-level density of states = 1.11 states/eV/atom; mass density = 9.49 Mg/m³
1.0
6.541 0.000 0.000
0.000 6.541 0.000
0.000 0.000 6.541
Zr Ti Zn Pt
4 4 4 4
Direct
0.000 0.000 0.000
0.000 0.500 0.500
0.500 0.000 0.500
0.500 0.500 0.000
0.000 0.000 0.500
0.000 0.500 0.000
0.500 0.000 0.000
0.500 0.500 0.500
0.250 0.250 0.750
0.250 0.750 0.250
0.750 0.250 0.250
0.750 0.750 0.750
0.250 0.250 0.250
0.250 0.750 0.750
0.750 0.250 0.750
0.750 0.750 0.250

[8]
Zr4TiPt PBE relaxed; spin magnetization = 0.00 μB/f.u.; ΔE_f = 0.23 eV per atom; Fermi-level density of states = 1.12 states/eV/atom; mass density = 6.95 Mg/m³
1.0
-5.003 5.003 2.902
5.003 -5.003 2.902
5.003 5.003 -2.902
Zr Ti Pt
8 2 2
Direct
0.250 0.000 0.250
0.250 0.000 0.750
0.250 0.500 0.250
0.250 0.500 0.750
0.750 0.000 0.250
0.750 0.000 0.750
0.750 0.500 0.250
0.750 0.500 0.750
0.126 0.626 0.500
0.376 0.376 0.000
0.625 0.125 0.500
0.875 0.875 0.000